# 1
## Rb3Sm3TaSe8 (PBE-GGA)

Data for a geometry-optimized Rb3Sm3TaSe8 structure.

**Calculated volume**: 493.7 Å³/cell
**Space-group type**: C2/m, No. 12
**ΔE_f (raw)**: -1.482 eV/atom

POSCAR file:
```
Rb3Sm3TaSe8
1.0
7.2177 -4.1650 0.0000
7.2177 4.1650 0.0000
-4.8175 0.0000 8.2111
Rb Sm Ta Se
3 3 1 8
direct
0.0000 0.0000 0.0000
0.0000 0.5000 0.0000
0.5000 0.0000 0.0000
0.0000 0.5000 0.5000
0.5000 0.0000 0.5000
0.5000 0.5000 0.5000
0.0000 0.0000 0.5000
0.2145 0.7580 0.6868
0.2145 0.2145 0.6868
0.2420 0.7855 0.3132
0.2660 0.2660 0.2982
0.7340 0.7340 0.7018
0.7580 0.2145 0.6868
0.7855 0.7855 0.3132
0.7855 0.2420 0.3132
```



# 2
## Rb3TbSm3Se8 (PBE-GGA)

Data for a geometry-optimized Rb3TbSm3Se8 structure.

**Calculated volume**: 513.5 Å³/cell
**Space-group type**: C2/m, No. 12
**ΔE_f (raw)**: -1.660 eV/atom

POSCAR file:
```
Rb3TbSm3Se8
1.0
7.3764 -4.2546 0.0000
7.3764 4.2546 0.0000
-4.9258 0.0000 8.1802
Rb Tb Sm Se
3 1 3 8
direct
0.0000 0.0000 0.0000
0.0000 0.5000 0.0000
0.5000 0.0000 0.0000
0.0000 0.0000 0.5000
0.0000 0.5000 0.5000
0.5000 0.0000 0.5000
0.5000 0.5000 0.5000
0.2296 0.2296 0.6945
0.2296 0.7356 0.6945
0.2644 0.7704 0.3055
0.2668 0.2668 0.3008
0.7332 0.7332 0.6992
0.7356 0.2296 0.6945
0.7704 0.2644 0.3055
0.7704 0.7704 0.3055
```



# 3
## Rb3Tb2SmSe6 (PBE-GGA)

Data for a geometry-optimized Rb3Tb2SmSe6 structure.

**Calculated volume**: 381.3 Å³/cell
**Space-group type**: C2/m, No. 12
**ΔE_f (raw)**: -1.741 eV/atom

POSCAR file:
```
Rb3Tb2SmSe6
1.0
3.7086 -6.4236 0.0000
3.7086 6.4236 0.0000
-2.4735 0.0000 8.0039
Rb Tb Sm Se
3 2 1 6
direct
0.0000 0.0000 0.0000
0.3339 0.6661 0.0000
0.6661 0.3339 0.0000
0.1667 0.8333 0.5000
0.8333 0.1667 0.5000
0.5000 0.5000 0.5000
0.0970 0.4342 0.3028
0.2284 0.2284 0.6970
0.4342 0.0970 0.3028
0.5658 0.9030 0.6972
0.7716 0.7716 0.3030
0.9030 0.5658 0.6972
```